Entry 1:
Entry from Alexandria: a geometry-optimized CsKPbF6 structure (PBE-GGA).

```
data_CsKPbF6
_cell_length_a 6.6145
_cell_length_b 11.4790
_cell_length_c 5.7142
_cell_angle_alpha 90.00
_cell_angle_beta 90.06
_cell_angle_gamma 90.00
_space_group_name_H-M_alt 'C 1 2 1'
_space_group_IT_number 5
_space_group_name_Hall 'C 2y'
loop_
_atom_site_label
_atom_site_fract_x
_atom_site_fract_y
_atom_site_fract_z
Cs1 0.0000 0.0000 0.0000
K1 0.0000 0.3335 0.5000
Pb1 0.0000 0.6666 0.5000
F1 0.1239 0.5309 0.2951
F2 0.1408 0.7968 0.2958
F3 0.2333 0.1722 0.2962
```

Properties
V = 24.1 Å³/atom
E_form (uncorrected) = -2.441 eV/atom
Crystal system = monoclinic
VASP energy = -77.71 eV per cell



Entry 2:
Entry from Alexandria: a geometry-optimized Cs3KPb2F9 structure (PBE-GGA).

```
data_Cs3KPb2F9
_cell_length_a 6.8839
_cell_length_b 6.8839
_cell_length_c 8.3970
_cell_angle_alpha 90.00
_cell_angle_beta 90.00
_cell_angle_gamma 120.00
_space_group_name_H-M_alt 'P -3 m 1'
_space_group_IT_number 164
_space_group_name_Hall '-P 3 2"'
loop_
_atom_site_label
_atom_site_fract_x
_atom_site_fract_y
_atom_site_fract_z
Cs1 0.0000 0.0000 0.0000
Cs2 0.3333 0.6667 0.6486
K1 0.0000 0.0000 0.5000
Pb1 0.3333 0.6667 0.1622
F1 0.0000 0.5000 0.0000
F2 0.1787 0.3573 0.3232
```

Properties
V = 23.0 Å³/atom
E_form (uncorrected) = -2.540 eV/atom
Crystal system = trigonal
VASP energy = -66.02 eV per cell



Entry 3:
Entry from Alexandria: a geometry-optimized CsK2PdF structure (PBE-GGA).

```
data_CsK2PdF
_cell_length_a 5.3233
_cell_length_b 5.3233
_cell_length_c 5.7658
_cell_angle_alpha 90.00
_cell_angle_beta 90.00
_cell_angle_gamma 90.00
_space_group_name_H-M_alt 'P 4/m m m'
_space_group_IT_number 123
_space_group_name_Hall '-P 4 2'
loop_
_atom_site_label
_atom_site_fract_x
_atom_site_fract_y
_atom_site_fract_z
Cs1 0.0000 0.0000 0.0000
K1 0.0000 0.5000 0.5000
Pd1 0.5000 0.5000 0.0000
F1 0.0000 0.0000 0.5000
```

Properties
V = 32.7 Å³/atom
E_form (uncorrected) = -1.000 eV/atom
Crystal system = tetragonal
VASP energy = -15.11 eV per cell



Entry 4:
Entry from Alexandria: a geometry-optimized Cs2KPdF structure (PBE-GGA).

```
data_Cs2KPdF
_cell_length_a 5.8341
_cell_length_b 5.8341
_cell_length_c 5.3261
_cell_angle_alpha 90.00
_cell_angle_beta 90.00
_cell_angle_gamma 90.00
_space_group_name_H-M_alt 'P 4/m m m'
_space_group_IT_number 123
_space_group_name_Hall '-P 4 2'
loop_
_atom_site_label
_atom_site_fract_x
_atom_site_fract_y
_atom_site_fract_z
Cs1 0.0000 0.5000 0.0000
K1 0.0000 0.0000 0.5000
Pd1 0.5000 0.5000 0.5000
F1 0.0000 0.0000 0.0000
```

Properties
V = 36.3 Å³/atom
E_form (uncorrected) = -0.988 eV/atom
Crystal system = tetragonal
VASP energy = -14.81 eV per cell



Entry 5:
Entry from Alexandria: a geometry-optimized Cs2KPdF6 structure (PBE-GGA).

```
data_Cs2KPdF6
_cell_length_a 6.6578
_cell_length_b 6.6578
_cell_length_c 9.1015
_cell_angle_alpha 90.00
_cell_angle_beta 90.00
_cell_angle_gamma 90.00
_space_group_name_H-M_alt 'I 4/m m m'
_space_group_IT_number 139
_space_group_name_Hall '-I 4 2'
loop_
_atom_site_label
_atom_site_fract_x
_atom_site_fract_y
_atom_site_fract_z
Cs1 0.0000 0.5000 0.2500
K1 0.0000 0.0000 0.0000
Pd1 0.0000 0.0000 0.5000
F1 0.0000 0.0000 0.2846
F2 0.2261 0.2261 0.5000
```

Properties
V = 20.2 Å³/atom
E_form (uncorrected) = -2.261 eV/atom
Crystal system = tetragonal
VASP energy = -83.68 eV per cell



Entry 6:
Entry from Alexandria: a geometry-optimized Cs2KPdF6 structure (PBE-GGA).

```
data_Cs2KPdF6
_cell_length_a 6.6209
_cell_length_b 6.6209
_cell_length_c 33.4429
_cell_angle_alpha 90.00
_cell_angle_beta 90.00
_cell_angle_gamma 120.00
_space_group_name_H-M_alt 'R -3 m'
_space_group_IT_number 166
_space_group_name_Hall '-R 3 2"'
loop_
_atom_site_label
_atom_site_fract_x
_atom_site_fract_y
_atom_site_fract_z
Cs1 0.0000 0.0000 0.1347
Cs2 0.0000 0.0000 0.2774
K1 0.0000 0.0000 0.4052
Pd1 0.0000 0.0000 0.0000
Pd2 0.0000 0.0000 0.5000
F1 0.0296 0.5148 0.1300
F2 0.0465 0.5232 0.7017
```

Properties
V = 21.2 Å³/atom
E_form (uncorrected) = -2.223 eV/atom
Crystal system = trigonal
VASP energy = -248.76 eV per cell



Entry 7:
Entry from Alexandria: a geometry-optimized CsKPtF6 structure (PBE-GGA).

```
data_CsKPtF6
_cell_length_a 6.5779
_cell_length_b 6.5779
_cell_length_c 10.5179
_cell_angle_alpha 90.00
_cell_angle_beta 90.00
_cell_angle_gamma 120.00
_space_group_name_H-M_alt 'P -3 1 c'
_space_group_IT_number 163
_space_group_name_Hall '-P 3 2c'
loop_
_atom_site_label
_atom_site_fract_x
_atom_site_fract_y
_atom_site_fract_z
Cs1 0.0000 0.0000 0.0000
K1 0.3333 0.6667 0.2500
Pt1 0.3333 0.6667 0.7500
F1 0.0812 0.4187 0.6456
```

Properties
V = 21.9 Å³/atom
E_form (uncorrected) = -2.153 eV/atom
Crystal system = trigonal
VASP energy = -77.19 eV per cell



Entry 8:
Entry from Alexandria: a geometry-optimized Cs2KPu3F12 structure (PBE-GGA).

```
data_Cs2KPu3F12
_cell_length_a 8.8589
_cell_length_b 8.8589
_cell_length_c 19.5917
_cell_angle_alpha 90.00
_cell_angle_beta 90.00
_cell_angle_gamma 120.00
_space_group_name_H-M_alt 'R -3 m'
_space_group_IT_number 166
_space_group_name_Hall '-R 3 2"'
loop_
_atom_site_label
_atom_site_fract_x
_atom_site_fract_y
_atom_site_fract_z
Cs1 0.0000 0.0000 0.1312
K1 0.0000 0.0000 0.5000
Pu1 0.0000 0.5000 0.0000
F1 0.0231 0.5115 0.8871
F2 0.0840 0.5420 0.3215
```

Properties
V = 24.7 Å³/atom
E_form (uncorrected) = -3.305 eV/atom
Crystal system = trigonal
VASP energy = -383.23 eV per cell



Entry 9:
Entry from Alexandria: a geometry-optimized CsKPuF6 structure (PBE-GGA).

```
data_CsKPuF6
_cell_length_a 6.7061
_cell_length_b 6.7061
_cell_length_c 11.5396
_cell_angle_alpha 90.00
_cell_angle_beta 90.00
_cell_angle_gamma 120.00
_space_group_name_H-M_alt 'P -3 1 c'
_space_group_IT_number 163
_space_group_name_Hall '-P 3 2c'
loop_
_atom_site_label
_atom_site_fract_x
_atom_site_fract_y
_atom_site_fract_z
Cs1 0.0000 0.0000 0.0000
K1 0.3333 0.6667 0.2500
Pu1 0.3333 0.6667 0.7500
F1 0.0583 0.4026 0.6472
```

Properties
V = 25.0 Å³/atom
E_form (uncorrected) = -3.257 eV/atom
Crystal system = trigonal
VASP energy = -113.65 eV per cell



Entry 10:
Entry from Alexandria: a geometry-optimized Cs2KPuF8 structure (PBE-GGA).

```
data_Cs2KPuF8
_cell_length_a 6.4745
_cell_length_b 6.4745
_cell_length_c 12.0642
_cell_angle_alpha 90.00
_cell_angle_beta 90.00
_cell_angle_gamma 90.00
_space_group_name_H-M_alt 'I -4 m 2'
_space_group_IT_number 119
_space_group_name_Hall 'I -4 -2'
loop_
_atom_site_label
_atom_site_fract_x
_atom_site_fract_y
_atom_site_fract_z
Cs1 0.0000 0.0000 0.0000
Cs2 0.0000 0.5000 0.2500
K1 0.0000 0.0000 0.5000
Pu1 0.0000 0.5000 0.7500
F1 0.1926 0.2993 0.6443
```

Properties
V = 21.1 Å³/atom
E_form (uncorrected) = -3.029 eV/atom
Crystal system = tetragonal
VASP energy = -136.90 eV per cell



Entry 11:
Entry from Alexandria: a geometry-optimized CsK2RbF structure (PBE-GGA).

```
data_CsK2RbF
_cell_length_a 6.8573
_cell_length_b 6.8573
_cell_length_c 5.9058
_cell_angle_alpha 90.00
_cell_angle_beta 90.00
_cell_angle_gamma 90.00
_space_group_name_H-M_alt 'P 4/m m m'
_space_group_IT_number 123
_space_group_name_Hall '-P 4 2'
loop_
_atom_site_label
_atom_site_fract_x
_atom_site_fract_y
_atom_site_fract_z
Cs1 0.0000 0.0000 0.0000
K1 0.0000 0.5000 0.5000
Rb1 0.5000 0.5000 0.0000
F1 0.0000 0.0000 0.5000
```

Properties
V = 55.5 Å³/atom
Energy above the lowest structure with this stoichiometry = 0.0 meV/atom
E_form (uncorrected) = -0.904 eV/atom
Crystal system = tetragonal
VASP energy = -10.41 eV per cell



Entry 12:
Entry from Alexandria: a geometry-optimized CsK2RbF structure (PBE-GGA).

```
data_CsK2RbF
_cell_length_a 7.5466
_cell_length_b 7.5466
_cell_length_c 5.3728
_cell_angle_alpha 90.00
_cell_angle_beta 90.00
_cell_angle_gamma 90.00
_space_group_name_H-M_alt 'P 4/m m m'
_space_group_IT_number 123
_space_group_name_Hall '-P 4 2'
loop_
_atom_site_label
_atom_site_fract_x
_atom_site_fract_y
_atom_site_fract_z
Cs1 0.0000 0.0000 0.0000
K1 0.0000 0.5000 0.5000
Rb1 0.5000 0.5000 0.0000
F1 0.5000 0.5000 0.5000
```

Properties
V = 61.2 Å³/atom
Energy above the lowest structure with this stoichiometry = 38.9 meV/atom
E_form (uncorrected) = -0.865 eV/atom
Crystal system = tetragonal
VASP energy = -10.21 eV per cell